Record 1
Material: KNpCuSe3
Method: DFT, PBE-GGA
State: optimized geometry

Calculated values
Raw formation energy = -1.00 eV/atom

a = 9.077 Å, b = 4.116 Å, c = 9.513 Å
α = 90.00°, β = 108.44°, γ = 90.00°
Space group P2_1/m (No. 11)
Inequivalent atoms, fractional coordinates:
K  0.203  0.250  0.245 x2
Np  0.320  0.750  0.840 x2
Cu  0.081  0.250  0.592 x2
Se  0.115  0.250  0.860 x2
Se  0.207  0.750  0.532 x2
Se  0.460  0.750  0.156 x2

=====

Record 2
Material: Mn2NiAs
Method: DFT, PBE-GGA
State: optimized geometry

Calculated values
ΔE_f = 0.1912 eV per atom

a = 3.0673 Å, b = 3.0673 Å, c = 21.2477 Å
α = 90.00°, β = 90.00°, γ = 120.00°
Space group R-3m (No. 166, hexagonal axes)
Inequivalent atoms, fractional coordinates:
Mn  0.0000  0.0000  0.2487 x6
Ni  0.0000  0.0000  0.5000 x3
As  0.0000  0.0000  0.0000 x3

=====

Record 3
Material: Zr2TiRePt
Method: DFT, PBE-GGA
State: optimized geometry

Calculated values
ΔE_f = 0.7791 eV per atom

a = 4.991 Å, b = 4.991 Å, c = 4.853 Å
α = 90.00°, β = 90.00°, γ = 90.00°
Space group P4/mmm (No. 123)
Inequivalent atoms, fractional coordinates:
Zr  0.000  0.500  0.000 x2
Ti  0.000  0.000  0.500 x1
Re  0.500  0.500  0.000 x1
Pt  0.500  0.500  0.500 x1

=====

Record 4
Material: Ac7SnPt5
Method: DFT, PBE-GGA
State: optimized geometry

Calculated values
ΔE_f = -1.0400 eV per atom

a = 4.479 Å, b = 14.585 Å, c = 26.164 Å
α = 90.00°, β = 90.00°, γ = 90.00°
Space group Cmcm (No. 63)
Inequivalent atoms, fractional coordinates:
Ac  0.000  0.038  0.250 x4
Ac  0.000  0.135  0.536 x8
Ac  0.000  0.323  0.171 x8
Ac  0.000  0.407  0.606 x8
Sn  0.000  0.292  0.750 x4
Pt  0.000  0.040  0.643 x8
Pt  0.000  0.228  0.071 x8
Pt  0.000  0.500  0.000 x4

=====

Record 5
Material: TeICl2
Method: DFT, PBE-GGA
State: optimized geometry

Calculated values
Energy above the most stable polymorph in this dataset = 190 kJ/mol of formula units
Raw formation energy = 0.18 eV/atom

a = 3.6216 Å, b = 3.6216 Å, c = 30.1765 Å
α = 90.00°, β = 90.00°, γ = 120.00°
Space group R-3m (No. 166, hexagonal axes)
Inequivalent atoms, fractional coordinates:
Te  0.0000  0.0000  0.0000 x3
I  0.0000  0.0000  0.5000 x3
Cl  0.0000  0.0000  0.4139 x6

=====

Record 6
Material: Ac3AlPb3
Method: DFT, PBE-GGA
State: optimized geometry

Calculated values
Energy above the most stable polymorph in this dataset = 0 kJ/mol of formula units
ΔE_f = -0.4569 eV per atom

a = 12.547 Å, b = 4.877 Å, c = 16.419 Å
α = 90.00°, β = 108.14°, γ = 90.00°
Space group C2/m (No. 12)
Inequivalent atoms, fractional coordinates:
Ac  0.019  0.000  0.383 x4
Ac  0.100  0.000  0.920 x4
Ac  0.236  0.000  0.232 x4
Al  0.234  0.500  0.375 x4
Pb  0.015  0.500  0.233 x4
Pb  0.126  0.500  0.076 x4
Pb  0.153  0.500  0.539 x4